Entry from Alexandria: a crystal of MnCu relaxed with PBEsol (meta-GGA SCAN).

abc: 2.395 2.395 8.242
angles: 90.00 90.00 112.90
Positions (direct):
Mn1 0.250 0.750 0.886
Mn2 0.750 0.250 0.114
Cu1 0.250 0.750 0.373
Cu2 0.750 0.250 0.627

## Properties
- total DFT energy (no corrections) (eV per atom) = -16.47
- crystal system = orthorhombic
- ΔH_f (0 K) (eV/f.u.) = 0.52